Record 1
The following is a PBE calculation of crystalline AcNd6Tl at its relaxed geometry, from the Alexandria database.

The structure belongs to space group P4/mmm (No. 123); the cell edges are 5.096, 5.096 and 10.541 Å and the angles 90.00°, 90.00° and 90.00°. The asymmetric unit holds Ac at (0.000, 0.000, 0.000), Nd at (0.000, 0.500, 0.262), Nd at (0.500, 0.500, 0.000), Nd at (0.500, 0.500, 0.500) and Tl at (0.000, 0.000, 0.500).

The value obtained for the uncorrected energy is -4.45 eV/atom. The density of states at the Fermi level comes out at 1.27 states/eV per atom.

Record 2
The following is a PBE calculation of crystalline Zr2Pd6Pt at its relaxed geometry, from the Alexandria database.

The structure belongs to space group C2/m (No. 12); the cell edges are 12.180, 3.975 and 6.504 Å and the angles 90.00°, 108.35° and 90.00°. The asymmetric unit holds Zr at (0.061, 0.000, 0.315), Pd at (0.107, 0.500, 0.666), Pd at (0.169, 0.000, 0.002), Pd at (0.222, 0.500, 0.334) and Pt at (0.000, 0.500, 0.000).

The value obtained for the uncorrected energy is -6.71 eV/atom. The density of states at the Fermi level comes out at 0.55 states/eV per atom.

Record 3
The following is a PBE calculation of crystalline BaTiO2F at its relaxed geometry, from the Alexandria database.

The structure belongs to space group P4/mmm (No. 123); the cell edges are 4.835, 4.835 and 4.769 Å and the angles 90.00°, 90.00° and 90.00°. The asymmetric unit holds Ba at (0.000, 0.000, 0.000), Ti at (0.500, 0.500, 0.500), O at (0.000, 0.500, 0.000) and F at (0.000, 0.000, 0.500).

The density of states at the Fermi level comes out at 1.84 states/eV per atom. As for the formation energy without anion corrections: -663 meV per atom.

Record 4
The following is a PBE calculation of crystalline KReTc at its relaxed geometry, from the Alexandria database.

The structure belongs to space group P3m1 (No. 156); the cell edges are 2.8448, 2.8448 and 8.1222 Å and the angles 90.00°, 90.00° and 120.00°. The asymmetric unit holds K at (0.0000, 0.0000, 0.0000), Re at (0.6667, 0.3333, 0.3748) and Tc at (0.3333, 0.6667, 0.6235).

The energy above the lowest structure with this stoichiometry comes out at 0 meV/atom. The density of states at the Fermi level comes out at 0.31 states/eV per atom.

Record 5
The following is a PBE calculation of crystalline Er8SnSe6 at its relaxed geometry, from the Alexandria database.

The structure belongs to space group P-3 (No. 147); the cell edges are 10.4640, 10.4640 and 3.9875 Å and the angles 90.00°, 90.00° and 120.00°. The asymmetric unit holds Er at (0.0355, 0.7168, 0.2515), Er at (0.3333, 0.6667, 0.7486), Sn at (0.0000, 0.0000, 0.5000) and Se at (0.1310, 0.4828, 0.2512).

The density of states at the Fermi level comes out at 0.68 states/eV per atom. As for the formation energy without anion corrections: -1292 meV per atom.

Record 6
The following is a PBE calculation of crystalline Dy4Y5Th2 at its relaxed geometry, from the Alexandria database.

The structure belongs to space group Immm (No. 71); the cell edges are 3.427, 9.230 and 24.549 Å and the angles 90.00°, 90.00° and 90.00°. The asymmetric unit holds Dy at (0.000, 0.000, 0.239), Dy at (0.000, 0.316, 0.000), Y at (0.000, 0.321, 0.157), Y at (0.000, 0.500, 0.500) and Th at (0.000, 0.000, 0.108).

The energy above the lowest structure with this stoichiometry comes out at 377 meV/atom. The density of states at the Fermi level comes out at 1.69 states/eV per atom.

Record 7
The following is a PBE calculation of crystalline Ni2PdRu at its relaxed geometry, from the Alexandria database.

The structure belongs to space group P4/mmm (No. 123); the cell edges are 2.656, 2.656 and 7.278 Å and the angles 90.00°, 90.00° and 90.00°. The asymmetric unit holds Ni at (0.000, 0.000, 0.239), Pd at (0.500, 0.500, 0.500) and Ru at (0.500, 0.500, 0.000).

The energy above the lowest structure with this stoichiometry comes out at 0 meV/atom. The density of states at the Fermi level comes out at 1.44 states/eV per atom.

Record 8
The following is a PBE calculation of crystalline CoSi2Sb at its relaxed geometry, from the Alexandria database.

The structure belongs to space group Imm2 (No. 44); the cell edges are 3.560, 4.896 and 7.545 Å and the angles 90.00°, 90.00° and 90.00°. The asymmetric unit holds Co at (0.000, 0.000, 0.000), Si at (0.000, 0.000, 0.564), Si at (0.000, 0.500, 0.303) and Sb at (0.000, 0.500, 0.783).

The density of states at the Fermi level comes out at 0.68 states/eV per atom. As for the formation energy without anion corrections: 441 meV per atom.

Record 9
The following is a PBE calculation of crystalline KSb at its relaxed geometry, from the Alexandria database.

The structure belongs to space group R-3m (No. 166, hexagonal axes); the cell edges are 3.6353, 3.6353 and 17.4177 Å and the angles 90.00°, 90.00° and 120.00°. The asymmetric unit holds K at (0.0000, 0.0000, 0.0000) and Sb at (0.0000, 0.0000, 0.5000).

The energy above the lowest structure with this stoichiometry comes out at 305 meV/atom. The density of states at the Fermi level comes out at 0.30 states/eV per atom. As for the formation energy without anion corrections: -135 meV per atom.

Record 10
The following is a PBE calculation of crystalline Na2CeHoSe4 at its relaxed geometry, from the Alexandria database.

The structure belongs to space group P2/m (No. 10); the cell edges are 7.307, 4.216 and 7.395 Å and the angles 90.00°, 109.23° and 90.00°. The asymmetric unit holds Na at (0.000, 0.000, 0.000), Na at (0.500, 0.500, 0.000), Ce at (0.000, 0.500, 0.500), Ho at (0.500, 0.000, 0.500), Se at (0.253, 0.000, 0.734) and Se at (0.264, 0.500, 0.270).

The density of states at the Fermi level comes out at 0.73 states/eV per atom. As for the formation energy without anion corrections: -1656 meV per atom.

Record 11
The following is a PBE calculation of crystalline LiScTlGe at its relaxed geometry, from the Alexandria database.

The structure belongs to space group F-43m (No. 216); the cell edges are 6.866, 6.866 and 6.866 Å and the angles 90.00°, 90.00° and 90.00°. The asymmetric unit holds Li at (0.000, 0.000, 0.000), Sc at (0.000, 0.000, 0.500), Tl at (0.250, 0.250, 0.250) and Ge at (0.250, 0.250, 0.750).

The value obtained for the uncorrected energy is -4.09 eV/atom. The density of states at the Fermi level comes out at 0.61 states/eV per atom.

Record 12
The following is a PBE calculation of crystalline BiBPt3 at its relaxed geometry, from the Alexandria database.

The structure belongs to space group R-3 (No. 148, hexagonal axes); the cell edges are 5.4114, 5.4114 and 21.3463 Å and the angles 90.00°, 90.00° and 120.00°. The asymmetric unit holds Bi at (0.0000, 0.0000, 0.1648), B at (0.0000, 0.0000, 0.3827) and Pt at (0.0037, 0.3803, 0.3860).

The energy above the lowest structure with this stoichiometry comes out at 199 meV/atom. The density of states at the Fermi level comes out at 0.25 states/eV per atom.

Record 13
The following is a PBE calculation of crystalline Na3Ho3AlTe8 at its relaxed geometry, from the Alexandria database.

The structure belongs to space group C2/m (No. 12); the cell edges are 14.853, 8.568 and 9.238 Å and the angles 90.00°, 122.44° and 90.00°. The asymmetric unit holds Na at (0.000, 0.000, 0.000), Na at (0.250, 0.250, 0.000), Ho at (0.000, 0.500, 0.500), Ho at (0.250, 0.250, 0.500), Al at (0.000, 0.000, 0.500), Te at (0.006, 0.235, 0.282), Te at (0.229, 0.000, 0.718) and Te at (0.244, 0.500, 0.732).

The density of states at the Fermi level comes out at 0.55 states/eV per atom. As for the formation energy without anion corrections: -1044 meV per atom.

Record 14
The following is a PBE calculation of crystalline TaCo2Pd at its relaxed geometry, from the Alexandria database.

The structure belongs to space group Fm-3m (No. 225); the cell edges are 5.985, 5.985 and 5.985 Å and the angles 90.00°, 90.00° and 90.00°. The asymmetric unit holds Ta at (0.000, 0.000, 0.000), Co at (0.250, 0.250, 0.250) and Pd at (0.000, 0.000, 0.500).

The energy above the lowest structure with this stoichiometry comes out at 168 meV/atom. The density of states at the Fermi level comes out at 1.55 states/eV per atom.

Record 15
The following is a PBE calculation of crystalline Li2MnCd at its relaxed geometry, from the Alexandria database.

The structure belongs to space group Cm (No. 8); the cell edges are 9.646, 2.907 and 5.046 Å and the angles 90.00°, 100.04° and 90.00°. The asymmetric unit holds Li at (0.000, 0.000, 0.000), Li at (0.243, 0.000, 0.758), Mn at (0.495, 0.000, 0.497) and Cd at (0.248, 0.500, 0.260).

The value obtained for the uncorrected energy is -3.35 eV/atom. The density of states at the Fermi level comes out at 0.55 states/eV per atom.

Record 16
The following is a PBE calculation of crystalline Sm5Cu4Pd at its relaxed geometry, from the Alexandria database.

The structure belongs to space group P4/mmm (No. 123); the cell edges are 3.542, 3.542 and 17.935 Å and the angles 90.00°, 90.00° and 90.00°. The asymmetric unit holds Sm at (0.000, 0.000, 0.000), Sm at (0.000, 0.000, 0.199), Sm at (0.000, 0.000, 0.399), Cu at (0.500, 0.500, 0.100), Cu at (0.500, 0.500, 0.298) and Pd at (0.500, 0.500, 0.500).

The value obtained for the uncorrected energy is -4.81 eV/atom. The density of states at the Fermi level comes out at 0.83 states/eV per atom.

Record 17
The following is a PBE calculation of crystalline BeAlBi3 at its relaxed geometry, from the Alexandria database.

The structure belongs to space group Pm-3m (No. 221); the cell edges are 5.149, 5.149 and 5.149 Å and the angles 90.00°, 90.00° and 90.00°. The asymmetric unit holds Be at (0.000, 0.000, 0.000), Al at (0.500, 0.500, 0.500) and Bi at (0.000, 0.000, 0.500).

The energy above the lowest structure with this stoichiometry comes out at 0 meV/atom. The density of states at the Fermi level comes out at 0.64 states/eV per atom.

Record 18
The following is a PBE calculation of crystalline BaSr at its relaxed geometry, from the Alexandria database.

The structure belongs to space group Cm (No. 8); the cell edges are 16.264, 4.344 and 10.417 Å and the angles 90.00°, 105.64° and 90.00°. The asymmetric unit holds Ba at (0.000, 0.000, 0.000), Ba at (0.056, 0.000, 0.614), Ba at (0.170, 0.500, 0.335), Sr at (0.227, 0.500, 0.948), Sr at (0.333, 0.000, 0.669) and Sr at (0.389, 0.000, 0.279).

The energy above the lowest structure with this stoichiometry comes out at 14 meV/atom. The density of states at the Fermi level comes out at 1.45 states/eV per atom.

Record 19
The following is a PBE calculation of crystalline Tb2Ga3CuPt4 at its relaxed geometry, from the Alexandria database.

The structure belongs to space group P-4m2 (No. 115); the cell edges are 4.056, 4.056 and 11.241 Å and the angles 90.00°, 90.00° and 90.00°. The asymmetric unit holds Tb at (0.000, 0.500, 0.242), Ga at (0.000, 0.000, 0.000), Ga at (0.000, 0.500, 0.634), Cu at (0.500, 0.500, 0.000), Pt at (0.000, 0.000, 0.500), Pt at (0.000, 0.500, 0.854) and Pt at (0.500, 0.500, 0.500).

The value obtained for the uncorrected energy is -5.54 eV/atom. The density of states at the Fermi level comes out at 0.45 states/eV per atom.

Record 20
The following is a PBE calculation of crystalline La8Tc3I4Cl at its relaxed geometry, from the Alexandria database.

The structure belongs to space group R-3m (No. 166, hexagonal axes); the cell edges are 8.6240, 8.6240 and 24.4269 Å and the angles 90.00°, 90.00° and 120.00°. The asymmetric unit holds La at (0.0000, 0.0000, 0.2327), La at (0.0254, 0.5127, 0.7719), Tc at (0.0000, 0.5000, 0.5000), I at (0.0000, 0.0000, 0.0000), I at (0.0000, 0.5000, 0.0000) and Cl at (0.0000, 0.0000, 0.5000).

The density of states at the Fermi level comes out at 0.75 states/eV per atom. As for the formation energy without anion corrections: -713 meV per atom.